Entry 1:
Below is crystalline KRbIn2Pd at its relaxed geometry, with properties calculated at the PBE level.

Computed properties:
For the density of states at the Fermi level, the calculation gives 2.30 states/eV per cell. Its energy of formation from the pure elements is -0.15 eV per atom. Its space group is P4/mmm. Its crystal system is tetragonal. The value obtained for the total energy is -13.51 eV/cell. The energy above the lowest structure with this stoichiometry comes out at 0 meV/atom.

a = 5.309 Å, b = 5.309 Å, c = 6.208 Å
α = 90.00°, β = 90.00°, γ = 90.00°
Sites, in units of the cell vectors:
1 In 0.500 0.000 0.000
2 In 0.000 0.500 0.000
3 Pd 0.000 0.000 0.000
4 Rb 0.500 0.500 0.500
5 K 0.000 0.000 0.500

***

Entry 2:
Below is crystalline KRbIn2Pd at its relaxed geometry, with properties calculated at the PBE level.

Computed properties:
For the density of states at the Fermi level, the calculation gives 2.65 states/eV per cell. Its energy of formation from the pure elements is -0.12 eV per atom. Its space group is P4/mmm. Its crystal system is tetragonal. The value obtained for the total energy is -13.32 eV/cell. The energy above the lowest structure with this stoichiometry comes out at 38 meV/atom.

a = 5.319 Å, b = 5.319 Å, c = 6.323 Å
α = 90.00°, β = 90.00°, γ = 90.00°
Sites, in units of the cell vectors:
1 K 0.500 0.500 0.500
2 In 0.000 0.500 0.000
3 In 0.500 0.000 0.000
4 Pd 0.000 0.000 0.000
5 Rb 0.000 0.000 0.500

***

Entry 3:
Below is crystalline KRb2InPd at its relaxed geometry, with properties calculated at the PBE level.

Computed properties:
For the density of states at the Fermi level, the calculation gives 2.61 states/eV per cell. Its energy of formation from the pure elements is -0.02 eV per atom. Its space group is P4/mmm. Its crystal system is tetragonal. The value obtained for the total energy is -11.08 eV/cell.

a = 6.598 Å, b = 6.598 Å, c = 5.359 Å
α = 90.00°, β = 90.00°, γ = 90.00°
Sites, in units of the cell vectors:
1 K 0.500 0.500 0.500
2 Rb 0.500 0.000 0.000
3 Rb 0.000 0.500 0.000
4 In 0.000 0.000 0.500
5 Pd 0.000 0.000 0.000

***

Entry 4:
Below is crystalline K2RbInPd at its relaxed geometry, with properties calculated at the PBE level.

Computed properties:
For the density of states at the Fermi level, the calculation gives 3.22 states/eV per cell. Its energy of formation from the pure elements is -0.06 eV per atom. Its space group is P4/mmm. Its crystal system is tetragonal. The value obtained for the total energy is -11.40 eV/cell.

a = 6.337 Å, b = 6.337 Å, c = 5.356 Å
α = 90.00°, β = 90.00°, γ = 90.00°
Sites, in units of the cell vectors:
1 Pd 0.000 0.000 0.000
2 K 0.000 0.500 0.000
3 K 0.500 0.000 0.000
4 In 0.000 0.000 0.500
5 Rb 0.500 0.500 0.500

***

Entry 5:
Below is crystalline K2InSb3Pd4 at its relaxed geometry, with properties calculated at the PBE level.

Computed properties:
The calculation puts the raw formation energy at -44.2 kJ/mol of atoms. For the density of states at the Fermi level, the calculation gives 5.01 states/eV per cell. Its space group is P-4m2. Its crystal system is tetragonal. The value obtained for the total energy is -42.66 eV/cell.

a = 4.738 Å, b = 4.738 Å, c = 10.810 Å
α = 90.00°, β = 90.00°, γ = 90.00°
Sites, in units of the cell vectors:
1 Sb 0.500 0.000 0.880
2 Sb 0.000 0.000 0.500
3 Sb 0.000 0.500 0.120
4 K 0.000 0.500 0.755
5 K 0.500 0.000 0.245
6 Pd 0.500 0.500 0.000
7 Pd 0.000 0.500 0.371
8 Pd 0.000 0.000 0.000
9 Pd 0.500 0.000 0.629
10 In 0.500 0.500 0.500

***

Entry 6:
Below is crystalline KInSb2Pd at its relaxed geometry, with properties calculated at the PBE level.

Computed properties:
The calculation puts the raw formation energy at 71.5 kJ/mol of atoms. For the density of states at the Fermi level, the calculation gives 4.32 states/eV per cell. Its space group is P4/mmm. Its crystal system is tetragonal. The value obtained for the total energy is -13.57 eV/cell.

a = 5.582 Å, b = 6.109 Å, c = 5.582 Å
α = 90.00°, β = 90.00°, γ = 90.00°
Sites, in units of the cell vectors:
1 Sb 0.000 0.000 0.500
2 Sb 0.500 0.000 0.000
3 K 0.000 0.500 0.000
4 Pd 0.500 0.500 0.500
5 In 0.000 0.000 0.000

***

Entry 7:
Below is crystalline KInPd2Se at its relaxed geometry, with properties calculated at the PBE level.

Computed properties:
The calculation puts the raw formation energy at -5.0 kJ/mol of atoms. For the density of states at the Fermi level, the calculation gives 0.50 states/eV per cell. Its space group is P4/mmm. Its crystal system is tetragonal. The value obtained for the total energy is -17.97 eV/cell.

a = 4.893 Å, b = 5.681 Å, c = 4.893 Å
α = 90.00°, β = 90.00°, γ = 90.00°
Sites, in units of the cell vectors:
1 Se 0.000 0.000 0.000
2 In 0.000 0.500 0.000
3 Pd 0.000 0.000 0.500
4 Pd 0.500 0.000 0.000
5 K 0.500 0.500 0.500

***

Entry 8:
Below is crystalline KIn2SiPd at its relaxed geometry, with properties calculated at the PBE level.

Computed properties:
The calculation puts the raw formation energy at 35.0 kJ/mol of atoms. For the density of states at the Fermi level, the calculation gives 3.36 states/eV per cell. Its space group is P4/mmm. Its crystal system is tetragonal. The value obtained for the total energy is -15.38 eV/cell.

a = 5.152 Å, b = 5.702 Å, c = 5.152 Å
α = 90.00°, β = 90.00°, γ = 90.00°
Sites, in units of the cell vectors:
1 K 0.000 0.500 0.000
2 In 0.000 0.000 0.500
3 In 0.500 0.000 0.000
4 Si 0.500 0.500 0.500
5 Pd 0.000 0.000 0.000

***

Entry 9:
Below is crystalline KIn2SnPd at its relaxed geometry, with properties calculated at the PBE level.

Computed properties:
For the density of states at the Fermi level, the calculation gives 3.13 states/eV per cell. Its energy of formation from the pure elements is -0.13 eV per atom. Its space group is P4/mmm. Its crystal system is tetragonal. The value obtained for the total energy is -16.44 eV/cell.

a = 5.292 Å, b = 5.292 Å, c = 5.369 Å
α = 90.00°, β = 90.00°, γ = 90.00°
Sites, in units of the cell vectors:
1 Pd 0.000 0.000 0.000
2 K 0.500 0.500 0.500
3 Sn 0.000 0.000 0.500
4 In 0.000 0.500 0.000
5 In 0.500 0.000 0.000

***

Entry 10:
Below is crystalline KSrIn2Pd at its relaxed geometry, with properties calculated at the PBE level.

Computed properties:
For the density of states at the Fermi level, the calculation gives 3.54 states/eV per cell. Its energy of formation from the pure elements is -0.27 eV per atom. Its space group is P4/mmm. Its crystal system is tetragonal. The value obtained for the total energy is -14.81 eV/cell.

a = 5.376 Å, b = 5.376 Å, c = 5.687 Å
α = 90.00°, β = 90.00°, γ = 90.00°
Sites, in units of the cell vectors:
1 K 0.500 0.500 0.500
2 Pd 0.000 0.000 0.000
3 In 0.000 0.500 0.000
4 In 0.500 0.000 0.000
5 Sr 0.000 0.000 0.500

***

Entry 11:
Below is crystalline KTlIn2Pd at its relaxed geometry, with properties calculated at the PBE level.

Computed properties:
For the density of states at the Fermi level, the calculation gives 2.85 states/eV per cell. Its energy of formation from the pure elements is -0.14 eV per atom. Its space group is P4/mmm. Its crystal system is tetragonal. The value obtained for the total energy is -14.86 eV/cell.

a = 5.302 Å, b = 5.302 Å, c = 5.490 Å
α = 90.00°, β = 90.00°, γ = 90.00°
Sites, in units of the cell vectors:
1 In 0.000 0.500 0.000
2 In 0.500 0.000 0.000
3 K 0.500 0.500 0.500
4 Pd 0.000 0.000 0.000
5 Tl 0.000 0.000 0.500

***

Entry 12:
Below is crystalline KTl2InPd at its relaxed geometry, with properties calculated at the PBE level.

Computed properties:
For the density of states at the Fermi level, the calculation gives 2.80 states/eV per cell. Its energy of formation from the pure elements is -0.11 eV per atom. Its space group is P4/mmm. Its crystal system is tetragonal. The value obtained for the total energy is -14.32 eV/cell.

a = 5.465 Å, b = 5.465 Å, c = 5.317 Å
α = 90.00°, β = 90.00°, γ = 90.00°
Sites, in units of the cell vectors:
1 Tl 0.000 0.500 0.000
2 Tl 0.500 0.000 0.000
3 Pd 0.000 0.000 0.000
4 K 0.500 0.500 0.500
5 In 0.000 0.000 0.500

***

Values for magnetic moment, μB/cell, ordered as above
0.000 0.000 0.000 0.000 0.000 0.000 0.000 0.698 0.000 0.000 0.000 0.000
Values for volume, Å³ per atom, ordered as above
35.0 35.8 46.7 43.0 24.3 38.1 27.2 30.3 30.1 32.9 30.9 31.8